1.
The following is a DFT calculation (GGA-PBE) of crystalline Y5Zn4 at its relaxed geometry.

Total magnetization, μB per atom: 0.0012
ΔE to the lowest computed polymorph, kJ/mol of formula units: 184
DFT formation energy, eV/atom: -0.024
N(E_F), states/eV/atom: 1.2189

Lattice parameters (Å, degrees): 9.5851 9.5851 4.6378 90.00 90.00 90.00
Last column: nearest neighbours and their distance in Å.
Space group I4/mmm (No. 139)
Symmetry-distinct sites (fractional):
Y 0.0000 0.0000 0.0000 (multiplicity 2)  8 Y 3.31, 4 Zn 3.34
Y 0.1738 0.1738 0.5000 (multiplicity 8)  6 Y 3.11-3.33, 6 Zn 3.13-3.31
Zn 0.0000 0.3483 0.0000 (multiplicity 8)  5 Zn 2.91-3.10, 2 Y 3.13

2.
The following is a DFT calculation (GGA-PBE) of crystalline Y2Zn at its relaxed geometry.

Total magnetization, μB per atom: 0.0121
DFT formation energy, eV/atom: -0.196
N(E_F), states/eV/atom: 1.4326

Lattice parameters (Å, degrees): 12.3108 3.6442 8.6193 90.00 124.23 90.00
Last column: nearest neighbours and their distance in Å.
Space group C2/m (No. 12)
Symmetry-distinct sites (fractional):
Y 0.0912 0.0000 0.3591 (multiplicity 4)  4 Zn 3.06-3.09
Y 0.1563 0.5000 0.0609 (multiplicity 4)  3 Zn 3.01-3.18, 1 Y 3.37
Zn 0.1217 0.5000 0.6671 (multiplicity 4)  1 Zn 2.75, 4 Y 3.01-3.06

3.
The following is a DFT calculation (GGA-PBE) of crystalline Y2Zn at its relaxed geometry.

Total magnetization, μB per atom: 0.0002
DFT formation energy, eV/atom: -0.004
N(E_F), states/eV/atom: 1.9149

Lattice parameters (Å, degrees): 7.0721 7.0721 7.0721 90.00 90.00 90.00
Last column: nearest neighbours and their distance in Å.
Space group Pa-3 (No. 205)
Symmetry-distinct sites (fractional):
Y 0.1548 0.1548 0.1548 (multiplicity 8)  3 Zn 2.89
Zn 0.0000 0.0000 0.5000 (multiplicity 4)  6 Y 2.89